Below is a relaxed structure of AgAsPbW2, with properties calculated at the GGA-PBE level.

The structure belongs to space group P4/mmm (No. 123); the cell edges are 5.239, 5.239 and 5.083 Å and the angles 90.00°, 90.00° and 90.00°. The inequivalent atoms are Ag at (0.000, 0.000, 0.000), As at (0.500, 0.500, 0.000), Pb at (0.000, 0.000, 0.500) and W at (0.000, 0.500, 0.500).

The volume is 139.5 Å³ per cell. The value obtained for the total DFT energy (no corrections) is -4.893 eV per atom. As for the energy of formation: 2.5298 eV/atom.

Below is a relaxed structure of DyZrPa2As4, with properties calculated at the GGA-PBE level.

The structure belongs to space group P2/m (No. 10); the cell edges are 6.945, 4.063 and 7.021 Å and the angles 90.00°, 109.76° and 90.00°. The inequivalent atoms are Dy at (0.000, 0.000, 0.000), Zr at (0.000, 0.500, 0.500), Pa at (0.500, 0.000, 0.500), Pa at (0.500, 0.500, 0.000), As at (0.242, 0.000, 0.742) and As at (0.245, 0.500, 0.254).

The volume is 186.5 Å³ per cell. The value obtained for the total DFT energy (no corrections) is -7.524 eV per atom. As for the energy of formation: -1.1818 eV/atom.

Below is a relaxed structure of PrErPd, with properties calculated at the GGA-PBE level.

The structure belongs to space group P-6m2 (No. 187); the cell edges are 4.0854, 4.0854 and 12.2687 Å and the angles 90.00°, 90.00° and 120.00°. The inequivalent atoms are Pr at (0.0000, 0.0000, 0.2273), Er at (0.3333, 0.6667, 0.0000), Er at (0.6667, 0.3333, 0.5000) and Pd at (0.3333, 0.6667, 0.3734).

The energy relative to the lowest polymorph listed for this composition comes out at 199.2 meV/atom. The volume is 177.3 Å³ per cell. The value obtained for the total DFT energy (no corrections) is -5.229 eV per atom. As for the energy of formation: -0.3842 eV/atom.